VASP calculation (PBE) on a geometry-optimized Ba2NaBr structure.

Values from the calculation:
calculated total energy	-2.352	eV/atom
space group	P4/mmm, No. 123

Geometry as CIF:
```
data_Ba2NaBr
_chemical_formula_sum 'Ba2 Na1 Br1'
_space_group_name_H-M_alt 'P 1'
_space_group_IT_number 1
_cell_length_a 4.1055
_cell_length_b 4.1055
_cell_length_c 10.3646
_cell_angle_alpha 90.00
_cell_angle_beta 90.00
_cell_angle_gamma 90.00
loop_
_space_group_symop_operation_xyz
'x,y,z'
loop_
_atom_site_label
_atom_site_type_symbol
_atom_site_fract_x
_atom_site_fract_y
_atom_site_fract_z
_atom_site_occupancy
Na1 Na 0.5000 0.5000 0.5000 1
Ba1 Ba 0.0000 0.0000 0.7746 1
Ba2 Ba 0.0000 0.0000 0.2254 1
Br1 Br 0.5000 0.5000 0.0000 1
```